This record from the Alexandria database describes a relaxed structure of Sr2MnIO6. The functional is PBE with a Hubbard U.

Calculated values
- magnetic moment (Bohr magnetons per cell) = 4.243
- Fermi-level density of states (states/eV/cell) = 2.3
- E_tot (eV/f.u.) = -59.53

Lattice parameters (Å, degrees): 5.7681 5.7736 5.7747 60.67 60.75 60.70
Closest atoms and distances in Å follow each position.
Space group P-1 (No. 2)
One atom of each set of equivalent atoms:
1 Sr 0.2501 0.2500 0.2475  4 O 2.56-2.84
2 Mn 0.5000 0.5000 0.5000  6 O 2.13-2.14
3 I 0.0000 0.0000 0.0000  6 O 2.03
4 O 0.1802 0.7572 0.3068  1 I 2.03, 1 Mn 2.14
5 O 0.2434 0.6977 0.8149  1 I 2.03, 1 Mn 2.13
6 O 0.3042 0.1831 0.7662  1 I 2.03, 1 Mn 2.13